Entry from OQMD: a geometry-optimized TbCuSnTe2S structure (PBE).

The magnetic moment comes out at 0.00 μB per formula unit. The total energy is -109.70 eV per cell.

The structure belongs to space group Cmcm (No. 63); the cell edges are 4.161, 14.309 and 10.343 Å and the angles 90.00°, 90.00° and 90.00°. The distinct sites, in fractional coordinates, are Tb at (0.000, 0.000, 0.000), Cu at (0.000, 0.483, 0.250), Sn at (0.000, 0.272, 0.750), Te at (0.000, 0.350, 0.068) and S at (0.000, 0.068, 0.250).